(1)
VASP calculation (GGA-PBE) on a relaxed structure of SmUIn2Te4. Values from VASP.

Values from the calculation:
The symmetry is No. 10. The density of states at the Fermi level comes out at 9.03 states/eV per cell. Its energy relative to the elements, uncorrected is -0.70 eV per atom.

Structure (Quantum ESPRESSO input):
```
&SYSTEM
  ibrav = 0, nat = 8, ntyp = 4
/
ATOMIC_SPECIES
Sm 150.36 Sm.upf
U 238.03 U.upf
In 114.82 In.upf
Te 127.60 Te.upf
CELL_PARAMETERS angstrom
7.6592 0.0000 0.0000
0.0000 4.4244 0.0000
-2.5521 0.0000 8.2081
ATOMIC_POSITIONS angstrom
Sm 0.0000 0.0000 0.0000
U 3.8296 2.2122 0.0000
In -1.2761 2.2122 4.1041
In 2.5536 0.0000 4.1041
Te 1.2982 2.2122 1.8385
Te 0.0248 0.0000 6.3809
Te 5.0823 0.0000 1.8272
Te 3.8089 2.2122 6.3696
```

=====

(2)
VASP calculation (GGA-PBE) on a relaxed structure of Sm2YIn3Te6. Values from VASP.

Values from the calculation:
The symmetry is No. 12. The density of states at the Fermi level comes out at 1.42 states/eV per cell. Its energy relative to the elements, uncorrected is -0.99 eV per atom.

Structure (Quantum ESPRESSO input):
```
&SYSTEM
  ibrav = 0, nat = 12, ntyp = 4
/
ATOMIC_SPECIES
Sm 150.36 Sm.upf
Y 88.91 Y.upf
In 114.82 In.upf
Te 127.60 Te.upf
CELL_PARAMETERS angstrom
3.8610 -6.6880 0.0000
3.8610 6.6880 0.0000
-2.5759 0.0000 8.1081
ATOMIC_POSITIONS angstrom
Sm 3.8610 4.4617 0.0000
Sm 3.8610 -4.4617 0.0000
Y 3.8610 0.0000 0.0000
In -1.2880 0.0000 4.0541
In 2.5730 2.2484 4.0541
In 2.5730 -2.2484 4.0541
Te 0.0155 2.2005 6.3061
Te 1.3212 0.0000 1.8144
Te 0.0155 -2.2005 6.3061
Te 5.1306 2.2005 1.8020
Te 3.8249 0.0000 6.2937
Te 5.1306 -2.2005 1.8020
```

=====

(3)
VASP calculation (GGA-PBE) on a relaxed structure of SmThIn. Values from VASP.

Values from the calculation:
The symmetry is No. 8. The density of states at the Fermi level comes out at 6.84 states/eV per cell. Its energy above the lowest structure with this stoichiometry is 69 meV/atom.

Structure (Quantum ESPRESSO input):
```
&SYSTEM
  ibrav = 0, nat = 6, ntyp = 3
/
ATOMIC_SPECIES
Sm 150.36 Sm.upf
Th 232.04 Th.upf
In 114.82 In.upf
CELL_PARAMETERS angstrom
6.2583 -1.7672 0.0000
6.2583 1.7672 0.0000
-0.6095 0.0000 8.3684
ATOMIC_POSITIONS angstrom
Sm 0.0000 0.0000 0.0000
Sm 8.7566 0.0000 2.0808
Th 0.9248 0.0000 4.8444
Th 10.2106 0.0000 5.2883
In 2.7296 0.0000 7.8266
In 5.3667 0.0000 2.6530
```